The following is a PBE+U calculation of crystalline DyCoH8C6N6O4 at its relaxed geometry, from OQMD.

Cell: 7.1396 7.1396 13.2718 Å, 90.00 90.00 119.54°
Atoms (fractional coordinates):
Dy (0.1782, 0.8218, 0.7500)
Dy (0.8218, 0.1782, 0.2500)
Co (0.5000, 0.5000, 0.0000)
Co (0.5000, 0.5000, 0.5000)
H (0.0305, 0.6402, 0.1895)
H (0.0305, 0.6402, 0.3105)
H (0.0799, 0.9201, 0.0912)
H (0.0799, 0.9201, 0.4088)
H (0.1917, 0.8083, 0.0323)
H (0.1917, 0.8083, 0.4677)
H (0.3598, 0.9695, 0.1895)
H (0.3598, 0.9695, 0.3105)
H (0.6402, 0.0305, 0.6895)
H (0.6402, 0.0305, 0.8105)
H (0.8083, 0.1917, 0.5323)
H (0.8083, 0.1917, 0.9677)
H (0.9201, 0.0799, 0.5912)
H (0.9201, 0.0799, 0.9088)
H (0.9695, 0.3598, 0.6895)
H (0.9695, 0.3598, 0.8105)
C (0.2736, 0.3603, 0.0891)
C (0.2736, 0.3603, 0.4109)
C (0.3603, 0.2736, 0.5891)
C (0.3603, 0.2736, 0.9109)
C (0.3630, 0.6370, 0.5551)
C (0.3630, 0.6370, 0.9449)
C (0.6370, 0.3630, 0.0551)
C (0.6370, 0.3630, 0.4449)
C (0.6397, 0.7264, 0.0891)
C (0.6397, 0.7264, 0.4109)
C (0.7264, 0.6397, 0.5891)
C (0.7264, 0.6397, 0.9109)
N (0.1259, 0.2710, 0.1428)
N (0.1259, 0.2710, 0.3572)
N (0.2710, 0.1259, 0.6428)
N (0.2710, 0.1259, 0.8572)
N (0.2750, 0.7250, 0.5885)
N (0.2750, 0.7250, 0.9115)
N (0.7250, 0.2750, 0.0885)
N (0.7250, 0.2750, 0.4115)
N (0.7290, 0.8741, 0.1428)
N (0.7290, 0.8741, 0.3572)
N (0.8741, 0.7290, 0.6428)
N (0.8741, 0.7290, 0.8572)
O (0.0294, 0.4526, 0.7500)
O (0.1586, 0.8414, 0.1000)
O (0.1586, 0.8414, 0.4000)
O (0.4526, 0.0294, 0.2500)
O (0.5474, 0.9706, 0.7500)
O (0.8414, 0.1586, 0.6000)
O (0.8414, 0.1586, 0.9000)
O (0.9706, 0.5474, 0.2500)

Output
V: 589 Å³/cell
space-group type: Cmcm (63)
electronic total energy: -6.72 eV/atom
magnetization: 0.01 μB per formula unit